<1>
Bi2Os2Cl | PBE | relaxed

As for the magnetization: 0.000 μB per cell.

Cell and atoms, written as POSCAR:
```
Bi2Os2Cl
1.0
8.023 0.000 0.000
0.000 8.023 0.000
0.000 0.000 3.239
Os Bi Cl
4 4 2
Direct
0.134 0.366 0.000
0.366 0.866 0.000
0.866 0.634 0.000
0.634 0.134 0.000
0.844 0.344 0.500
0.156 0.656 0.500
0.656 0.844 0.500
0.344 0.156 0.500
0.500 0.500 0.000
0.000 0.000 0.000
```

---

<2>
Bi2Os2Cl | PBE | relaxed

As for the magnetization: 0.000 μB per cell.

Cell and atoms, written as POSCAR:
```
Bi2Os2Cl
1.0
-0.014 2.712 -4.745
4.558 -2.613 -1.507
0.130 -2.763 -4.727
Os Cl Bi
2 1 2
Direct
0.645 0.645 0.710
0.355 0.355 0.290
0.000 0.000 0.000
0.750 0.250 0.500
0.250 0.750 0.500
```

---

Most stable to least stable: <2>, <1>

---

<1>
Bi3OsCl | PBE | relaxed

As for the magnetization: 0.001 μB per cell.

Cell and atoms, written as POSCAR:
```
Bi3OsCl
1.0
-4.645 -0.145 2.717
2.068 -3.681 3.340
1.768 3.926 3.232
Os Bi Cl
1 3 1
Direct
0.000 0.000 0.000
0.500 0.000 0.000
0.000 0.000 0.500
0.000 0.500 0.000
0.500 0.500 0.500
```

---

<2>
Bi3OsCl | PBE | relaxed

As for the magnetization: 0.007 μB per cell.

Cell and atoms, written as POSCAR:
```
Bi3OsCl
1.0
-1.527 4.904 -1.109
0.336 -1.058 -5.137
-5.017 -1.564 -0.006
Cl Bi Os
1 3 1
Direct
0.000 0.000 0.000
0.000 0.000 0.500
0.500 0.000 0.000
0.000 0.500 0.000
0.500 0.500 0.500
```

---

Most stable to least stable: <1>, <2>

---

<1>
BiOsS2Cl | PBE | relaxed

As for the magnetization: 5.190 μB per cell.

Cell and atoms, written as POSCAR:
```
BiOsS2Cl
1.0
5.294 0.000 0.000
0.000 5.294 0.000
0.000 0.000 5.260
Os Cl S Bi
1 1 2 1
Direct
0.500 0.500 0.500
0.000 0.000 0.500
0.500 0.000 0.000
0.000 0.500 0.000
0.000 0.000 0.000
```

---

<2>
BiOsS2Cl | PBE | relaxed

As for the magnetization: 0.000 μB per cell.

Cell and atoms, written as POSCAR:
```
BiOsS2Cl
1.0
-3.667 -0.470 2.844
1.693 -4.075 1.510
2.402 2.285 3.474
S Bi Os Cl
2 1 1 1
Direct
0.000 0.500 0.000
0.500 0.000 0.000
0.500 0.500 0.500
0.000 0.000 0.000
0.000 0.000 0.500
```

---

Most stable to least stable: <2>, <1>

---

<1>
BiOsSCl2 | PBE | relaxed

As for the magnetization: 0.000 μB per cell.

Cell and atoms, written as POSCAR:
```
BiOsSCl2
1.0
4.857 0.000 0.000
0.000 4.857 0.000
0.000 0.000 4.582
Cl S Os Bi
2 1 1 1
Direct
0.000 0.500 0.000
0.500 0.000 0.000
0.000 0.000 0.500
0.000 0.000 0.000
0.500 0.500 0.500
```

---

<2>
BiOsSCl2 | PBE | relaxed

As for the magnetization: 4.984 μB per cell.

Cell and atoms, written as POSCAR:
```
BiOsSCl2
1.0
5.403 0.000 0.000
0.000 5.403 0.000
0.000 0.000 5.403
Bi Cl S Os
1 2 1 1
Direct
0.000 0.000 0.000
0.500 0.000 0.000
0.000 0.500 0.000
0.000 0.000 0.500
0.500 0.500 0.500
```

---

Most stable to least stable: <1>, <2>

---

<1>
BiP3Cl | PBE | relaxed

As for the magnetization: 0.000 μB per cell.

Cell and atoms, written as POSCAR:
```
BiP3Cl
1.0
4.713 0.000 0.000
0.000 4.713 0.000
0.000 0.000 4.713
P Bi Cl
3 1 1
Direct
0.500 0.000 0.000
0.000 0.000 0.500
0.000 0.500 0.000
0.500 0.500 0.500
0.000 0.000 0.000
```

---

<2>
BiP3Cl | PBE | relaxed

As for the magnetization: 5.059 μB per cell.

Cell and atoms, written as POSCAR:
```
BiP3Cl
1.0
-3.514 0.872 -4.099
3.150 -2.980 -3.334
-2.765 -4.503 1.412
P Cl Bi
3 1 1
Direct
0.000 0.000 0.500
0.000 0.500 0.000
0.500 0.000 0.000
0.500 0.500 0.500
0.000 0.000 0.000
```

---

Most stable to least stable: <1>, <2>

---

<1>
BiPPdCl2 | PBE | relaxed

As for the magnetization: 0.000 μB per cell.

Cell and atoms, written as POSCAR:
```
BiPPdCl2
1.0
-4.487 1.640 -0.001
-0.976 -2.667 3.841
1.363 3.729 2.935
Cl Pd Bi P
2 1 1 1
Direct
0.500 0.000 0.000
0.000 0.500 0.000
0.000 0.000 0.000
0.500 0.500 0.500
0.000 0.000 0.500
```

---

<2>
BiPPdCl2 | PBE | relaxed

As for the magnetization: 1.655 μB per cell.

Cell and atoms, written as POSCAR:
```
BiPPdCl2
1.0
5.347 0.000 0.000
0.000 5.347 0.000
0.000 0.000 5.507
Bi Cl P Pd
1 2 1 1
Direct
0.000 0.000 0.000
0.500 0.000 0.000
0.000 0.500 0.000
0.000 0.000 0.500
0.500 0.500 0.500
```

---

Most stable to least stable: <1>, <2>

---

<1>
RbBiP2Cl | PBE | relaxed

As for the magnetization: 1.236 μB per cell.

Cell and atoms, written as POSCAR:
```
RbBiP2Cl
1.0
-3.047 4.154 -1.445
0.993 -1.062 -5.149
-4.741 -3.542 -0.184
P Cl Bi Rb
2 1 1 1
Direct
0.500 0.000 0.000
0.000 0.500 0.000
0.000 0.000 0.500
0.000 0.000 0.000
0.500 0.500 0.500
```

---

<2>
RbBiP2Cl | PBE | relaxed

As for the magnetization: 0.521 μB per cell.

Cell and atoms, written as POSCAR:
```
RbBiP2Cl
1.0
-3.531 4.121 -1.068
-3.863 -3.685 -1.444
-1.772 -0.175 5.184
Cl Rb Bi P
1 1 1 2
Direct
0.000 0.000 0.500
0.000 0.000 0.000
0.500 0.500 0.500
0.500 0.000 0.000
0.000 0.500 0.000
```

---

Most stable to least stable: <1>, <2>

---

<1>
ReBiP2Cl | PBE | relaxed

As for the magnetization: 0.000 μB per cell.

Cell and atoms, written as POSCAR:
```
ReBiP2Cl
1.0
4.612 0.000 0.000
0.000 4.612 0.000
0.000 0.000 5.141
P Bi Cl Re
2 1 1 1
Direct
0.500 0.000 0.000
0.000 0.500 0.000
0.500 0.500 0.500
0.000 0.000 0.500
0.000 0.000 0.000
```

---

<2>
ReBiP2Cl | PBE | relaxed

As for the magnetization: 3.957 μB per cell.

Cell and atoms, written as POSCAR:
```
ReBiP2Cl
1.0
-1.884 4.309 -2.457
-2.252 -3.085 -3.684
-4.298 -0.258 2.844
P Cl Re Bi
2 1 1 1
Direct
0.000 0.500 0.000
0.500 0.000 0.000
0.000 0.000 0.500
0.500 0.500 0.500
0.000 0.000 0.000
```

---

Most stable to least stable: <1>, <2>

---

<1>
BiP2RhCl | PBE | relaxed

As for the magnetization: 0.000 μB per cell.

Cell and atoms, written as POSCAR:
```
BiP2RhCl
1.0
4.684 0.000 0.000
0.000 4.684 0.000
0.000 0.000 4.795
Bi Rh Cl P
1 1 1 2
Direct
0.500 0.500 0.500
0.000 0.000 0.000
0.000 0.000 0.500
0.000 0.500 0.000
0.500 0.000 0.000
```

---

<2>
BiP2RhCl | PBE | relaxed

As for the magnetization: 2.796 μB per cell.

Cell and atoms, written as POSCAR:
```
BiP2RhCl
1.0
5.278 0.000 0.000
0.000 5.278 0.000
0.000 0.000 5.276
P Rh Bi Cl
2 1 1 1
Direct
0.000 0.500 0.000
0.500 0.000 0.000
0.500 0.500 0.500
0.000 0.000 0.000
0.000 0.000 0.500
```

---

Most stable to least stable: <1>, <2>

---

<1>
BiPRhCl2 | PBE | relaxed

As for the magnetization: 0.000 μB per cell.

Cell and atoms, written as POSCAR:
```
BiPRhCl2
1.0
4.739 0.000 0.000
0.000 4.739 0.000
0.000 0.000 4.821
Cl P Rh Bi
2 1 1 1
Direct
0.000 0.500 0.000
0.500 0.000 0.000
0.000 0.000 0.500
0.000 0.000 0.000
0.500 0.500 0.500
```

---

<2>
BiPRhCl2 | PBE | relaxed

As for the magnetization: 2.249 μB per cell.

Cell and atoms, written as POSCAR:
```
BiPRhCl2
1.0
-5.213 0.393 0.744
-0.679 -4.722 -2.265
0.520 -2.444 4.940
Cl P Bi Rh
2 1 1 1
Direct
0.500 0.000 0.000
0.000 0.500 0.000
0.000 0.000 0.500
0.000 0.000 0.000
0.500 0.500 0.500
```

---

Most stable to least stable: <1>, <2>

---

<1>
BiPRuCl2 | PBE | relaxed

As for the magnetization: 0.000 μB per cell.

Cell and atoms, written as POSCAR:
```
BiPRuCl2
1.0
-3.758 2.982 -0.354
-0.924 -0.609 4.681
2.774 3.616 1.018
P Cl Bi Ru
1 2 1 1
Direct
0.000 0.000 0.500
0.000 0.500 0.000
0.500 0.000 0.000
0.500 0.500 0.500
0.000 0.000 0.000
```

---

<2>
BiPRuCl2 | PBE | relaxed

As for the magnetization: 3.319 μB per cell.

Cell and atoms, written as POSCAR:
```
BiPRuCl2
1.0
5.267 0.000 0.000
0.000 5.267 0.000
0.000 0.000 5.532
Ru P Cl Bi
1 1 2 1
Direct
0.500 0.500 0.500
0.000 0.000 0.500
0.000 0.500 0.000
0.500 0.000 0.000
0.000 0.000 0.000
```

---

Most stable to least stable: <1>, <2>

---

<1>
BiP2SCl | PBE | relaxed

As for the magnetization: 0.000 μB per cell.

Cell and atoms, written as POSCAR:
```
BiP2SCl
1.0
4.741 0.000 0.000
0.000 4.741 0.000
0.000 0.000 4.646
Cl S Bi P
1 1 1 2
Direct
0.000 0.000 0.500
0.000 0.000 0.000
0.500 0.500 0.500
0.500 0.000 0.000
0.000 0.500 0.000
```

---

<2>
BiP2SCl | PBE | relaxed

As for the magnetization: 0.000 μB per cell.

Cell and atoms, written as POSCAR:
```
BiP2SCl
1.0
-2.035 -2.763 3.188
4.043 -0.269 2.349
-1.248 3.913 2.595
P Cl Bi S
2 1 1 1
Direct
0.500 0.000 0.000
0.000 0.500 0.000
0.000 0.000 0.000
0.500 0.500 0.500
0.000 0.000 0.500
```

---

Most stable to least stable: <1>, <2>

---

<1>
BiPSCl2 | PBE | relaxed

As for the magnetization: 0.000 μB per cell.

Cell and atoms, written as POSCAR:
```
BiPSCl2
1.0
4.761 0.000 0.000
0.000 4.761 0.000
0.000 0.000 4.946
Cl Bi S P
2 1 1 1
Direct
0.500 0.000 0.000
0.000 0.500 0.000
0.500 0.500 0.500
0.000 0.000 0.000
0.000 0.000 0.500
```

---

<2>
BiPSCl2 | PBE | relaxed

As for the magnetization: 0.000 μB per cell.

Cell and atoms, written as POSCAR:
```
BiPSCl2
1.0
4.740 0.000 0.000
0.000 4.740 0.000
0.000 0.000 4.959
P Bi S Cl
1 1 1 2
Direct
0.000 0.000 0.000
0.500 0.500 0.500
0.000 0.000 0.500
0.500 0.000 0.000
0.000 0.500 0.000
```

---

<3>
BiPSCl2 | PBE | relaxed

As for the magnetization: 2.029 μB per cell.

Cell and atoms, written as POSCAR:
```
BiPSCl2
1.0
-4.608 0.964 2.554
-0.409 -5.198 1.223
2.789 0.886 4.697
Cl Bi S P
2 1 1 1
Direct
0.500 0.000 0.000
0.000 0.500 0.000
0.000 0.000 0.000
0.000 0.000 0.500
0.500 0.500 0.500
```

---

<4>
BiPSCl2 | PBE | relaxed

As for the magnetization: 2.068 μB per cell.

Cell and atoms, written as POSCAR:
```
BiPSCl2
1.0
5.266 0.000 0.000
0.000 5.266 0.000
0.000 0.000 5.899
P Cl S Bi
1 2 1 1
Direct
0.000 0.000 0.500
0.500 0.000 0.000
0.000 0.500 0.000
0.500 0.500 0.500
0.000 0.000 0.000
```

---

Most stable to least stable: <2>, <3>, <1>, <4>